No. 1
Below is crystalline Sr2RePb at its relaxed geometry, with properties calculated at the PBE-GGA level.

Unit cell a=4.8960 b=4.8960 c=4.7150 alpha=90.00 beta=90.00 gamma=90.00
Last column: nearest neighbours and their distance in Å.
Space group P4/mmm (No. 123)
Symmetry-distinct sites (fractional):
Sr1 0.0000 0.5000 0.0000  4 Pb 3.40, 4 Re 3.40, 4 Sr 3.46
Re1 0.0000 0.0000 0.5000  8 Sr 3.40, 4 Pb 3.46
Pb1 0.5000 0.5000 0.5000  8 Sr 3.40, 4 Re 3.46

Calculated formation energy, eV per atom: 0.692


No. 2
Below is crystalline Zr4Sb2N at its relaxed geometry, with properties calculated at the PBE-GGA level.

Unit cell a=4.3877 b=4.3877 c=15.0795 alpha=90.00 beta=90.00 gamma=90.00
Last column: nearest neighbours and their distance in Å.
Space group I4/mmm (No. 139)
Symmetry-distinct sites (fractional):
Zr1 0.0000 0.0000 0.1595  1 N 2.41
Zr2 0.0000 0.5000 0.0000  2 N 2.19
Sb1 0.0000 0.0000 0.3536  9 Zr 2.93-3.11
N1 0.0000 0.0000 0.0000  6 Zr 2.19-2.41

E_form (uncorrected), eV/atom: -0.825


No. 3
Below is crystalline TaCu2Cl at its relaxed geometry, with properties calculated at the PBE-GGA level.

Unit cell a=3.3538 b=4.7813 c=7.8858 alpha=90.00 beta=90.00 gamma=90.00
Last column: nearest neighbours and their distance in Å.
Space group Cmmm (No. 65)
Symmetry-distinct sites (fractional):
Ta1 0.0000 0.0000 0.0000  4 Cu 2.65, 4 Ta 2.92
Cu1 0.0000 0.5000 0.2600  2 Cl 2.53, 2 Ta 2.65
Cl1 0.0000 0.0000 0.5000  4 Cu 2.53

E_form (uncorrected), eV/atom: 0.152
Polymorph energy (0 for the lowest one), meV/atom: 132


| no. | total energy (eV per atom) | N(E_F) (states/eV/f.u.) |
| --- | --- | --- |
| 1 | -4.19 | 4.24 |
| 2 | -8.08 | 5.66 |
| 3 | -5.32 | 2.09 |